YSi2Pb: optimized geometry, PBE.

abc: 3.2594 3.2594 8.6856
angles: 90.00 90.00 90.00
With the nearest neighbours (Å) after each atom.
Sites, in units of the cell vectors:
Y  0.5000  0.5000  0.2500  8 Si 3.05, 4 Y 3.26
Pb  0.5000  0.5000  0.7500  4 Pb 3.26, 8 Si 3.29
Si  0.0000  0.0000  0.4802  4 Y 3.05, 4 Si 3.26, 4 Pb 3.29
Si  0.0000  0.0000  0.0198  4 Y 3.05, 4 Si 3.26, 4 Pb 3.29

size of the total moment	0.0000	μB/atom
formation energy from raw total energies	0.11	eV per atom
calculated volume	23.068	A^3/atom
calculated density	6.3	g cm⁻³

***

YSiPb2: optimized geometry, PBE.

abc: 5.9460 5.9460 5.9460
angles: 135.25 135.25 65.14
With the nearest neighbours (Å) after each atom.
Sites, in units of the cell vectors:
Si  0.5000  0.5000  0.0000  8 Pb 3.20-3.38, 4 Y 3.38
Y  0.7500  0.2500  0.5000  8 Pb 3.20-3.38, 4 Si 3.38
Pb  0.2500  0.7500  0.5000  4 Y 3.20, 4 Pb 3.38, 4 Si 3.38
Pb  0.0000  0.0000  0.0000  4 Si 3.20, 4 Pb 3.38, 4 Y 3.38

size of the total moment	0.0000	μB/atom
formation energy from raw total energies	-0.07	eV per atom
calculated volume	25.673	A^3/atom
calculated density	8.6	g cm⁻³

***

Y2SiPb: optimized geometry, PBE.

abc: 3.8187 3.8187 6.8979
angles: 90.00 90.00 90.00
With the nearest neighbours (Å) after each atom.
Sites, in units of the cell vectors:
Pb  0.5000  0.5000  0.2500  8 Y 3.32, 2 Si 3.45
Y  0.0000  0.0000  0.9706  1 Y 3.04, 4 Si 3.10, 4 Pb 3.32
Y  0.0000  0.0000  0.5294  1 Y 3.04, 4 Si 3.10, 4 Pb 3.32
Si  0.5000  0.5000  0.7500  8 Y 3.10, 2 Pb 3.45

size of the total moment	0.0000	μB/atom
distance to the lowest polymorph of the same formula	146	meV per atom
formation energy from raw total energies	-0.43	eV per atom
calculated volume	25.148	A^3/atom
calculated density	6.8	g cm⁻³

***

YSiPb2: optimized geometry, PBE.

abc: 8.5369 8.5369 6.7578
angles: 50.83 50.83 90.00
With the nearest neighbours (Å) after each atom.
Sites, in units of the cell vectors:
Pb  0.5785  0.1250  0.2500  2 Si 2.85, 2 Pb 3.14
Pb  0.1715  0.6250  0.2500  2 Si 2.85, 2 Pb 3.14
Y  0.0000  0.0000  0.0000  2 Si 3.04, 4 Pb 3.40
Y  0.7500  0.2500  0.5000  2 Si 3.04, 4 Pb 3.40
Pb  0.8750  0.8285  0.7500  2 Si 2.85, 2 Pb 3.14
Pb  0.3750  0.4215  0.7500  2 Si 2.85, 2 Pb 3.14
Si  0.5000  0.5000  0.0000  4 Pb 2.85, 2 Y 3.04
Si  0.2500  0.7500  0.5000  4 Pb 2.85, 2 Y 3.04

size of the total moment	0.0000	μB/atom
formation energy from raw total energies	0.01	eV per atom
calculated volume	27.673	A^3/atom
calculated density	8.0	g cm⁻³

***

Y2SiPb: optimized geometry, PBE.

abc: 3.6637 3.6637 7.9332
angles: 90.00 90.00 90.00
With the nearest neighbours (Å) after each atom.
Sites, in units of the cell vectors:
Pb  0.0000  0.0000  0.5447  4 Si 2.99, 1 Y 3.23
Si  0.5000  0.5000  0.7327  4 Pb 2.99, 4 Y 3.12
Y  0.0000  0.0000  0.9521  4 Si 3.12, 1 Pb 3.23
Y  0.5000  0.5000  0.2705  4 Pb 3.38, 8 Y 3.62-3.66, 1 Si 3.67

size of the total moment	0.0000	μB/atom
distance to the lowest polymorph of the same formula	493	meV per atom
formation energy from raw total energies	-0.08	eV per atom
calculated volume	26.621	A^3/atom
calculated density	6.4	g cm⁻³

***

YSi2Pb: optimized geometry, PBE.

abc: 7.8293 7.8293 6.3521
angles: 51.96 51.96 90.00
With the nearest neighbours (Å) after each atom.
Sites, in units of the cell vectors:
Si  0.8750  0.8850  0.7500  2 Pb 2.82, 2 Y 2.93, 2 Si 3.12
Si  0.1150  0.6250  0.2500  2 Pb 2.82, 2 Y 2.93, 2 Si 3.12
Pb  0.0000  0.0000  0.0000  4 Si 2.82, 2 Y 3.11
Y  0.5000  0.5000  0.0000  4 Si 2.93, 2 Pb 3.11
Y  0.2500  0.7500  0.5000  4 Si 2.93, 2 Pb 3.11
Si  0.3750  0.3650  0.7500  2 Pb 2.82, 2 Y 2.93, 2 Si 3.12
Si  0.6350  0.1250  0.2500  2 Pb 2.82, 2 Y 2.93, 2 Si 3.12
Pb  0.7500  0.2500  0.5000  4 Si 2.82, 2 Y 3.11

size of the total moment	0.0000	μB/atom
formation energy from raw total energies	0.14	eV per atom
calculated volume	23.864	A^3/atom
calculated density	6.1	g cm⁻³